Record 1
## RbCd3Au (PBE)

Data for crystalline RbCd3Au at its relaxed geometry.

The structure belongs to space group Pm-3m (No. 221); the cell edges are 6.802, 6.802 and 6.802 Å and the angles 90.00°, 90.00° and 90.00°. The asymmetric unit holds Rb at (0.000, 0.000, 0.000), Cd at (0.000, 0.000, 0.500) and Au at (0.500, 0.500, 0.500).

The value obtained for the energy above the lowest structure with this stoichiometry is 82.5 kJ/mol of atoms. Its crystal system is cubic.

Record 2
## Rb4Cd2Au (PBE)

Data for crystalline Rb4Cd2Au at its relaxed geometry.

The structure belongs to space group P-1 (No. 2); the cell edges are 8.247, 8.700 and 11.202 Å and the angles 71.15°, 68.50° and 62.49°. The asymmetric unit holds Rb at (0.001, 0.263, 0.145), Rb at (0.002, 0.242, 0.757), Rb at (0.365, 0.254, 0.365), Rb at (0.496, 0.704, 0.303), Cd at (0.000, 0.000, 0.500), Cd at (0.419, 0.890, 0.965), Cd at (0.500, 0.500, 0.000) and Au at (0.128, 0.617, 0.552).

The value obtained for the energy above the lowest structure with this stoichiometry is 0.0 kJ/mol of atoms. Its crystal system is triclinic.

Record 3
## Rb3Cd2Au2 (PBE)

Data for crystalline Rb3Cd2Au2 at its relaxed geometry.

The structure belongs to space group Pbcm (No. 57); the cell edges are 6.973, 9.460 and 15.653 Å and the angles 90.00°, 90.00° and 90.00°. The asymmetric unit holds Rb at (0.112, 0.135, 0.109), Rb at (0.347, 0.721, 0.750), Cd at (0.382, 0.016, 0.586), Au at (0.192, 0.069, 0.750) and Au at (0.429, 0.750, 0.000).

The value obtained for the energy above the lowest structure with this stoichiometry is 0.0 kJ/mol of atoms. Its crystal system is orthorhombic.

Record 4
## Rb2Cd5Au5 (PBE)

Data for crystalline Rb2Cd5Au5 at its relaxed geometry.

The structure belongs to space group Pmmm (No. 47); the cell edges are 4.601, 6.176 and 10.630 Å and the angles 90.00°, 90.00° and 90.00°. The asymmetric unit holds Rb at (0.000, 0.000, 0.000), Rb at (0.000, 0.500, 0.500), Cd at (0.000, 0.000, 0.323), Cd at (0.000, 0.500, 0.168), Cd at (0.500, 0.000, 0.500), Au at (0.500, 0.256, 0.253) and Au at (0.500, 0.500, 0.000).

Its crystal system is orthorhombic.

Record 5
## Rb5Cd2Au2 (PBE)

Data for crystalline Rb5Cd2Au2 at its relaxed geometry.

The structure belongs to space group Cc (No. 9); the cell edges are 21.229, 11.297 and 7.571 Å and the angles 90.00°, 110.73° and 90.00°. The asymmetric unit holds Rb at (0.000, 0.046, 0.000), Rb at (0.073, 0.378, 0.905), Rb at (0.181, 0.181, 0.533), Rb at (0.290, 0.378, 0.123), Rb at (0.363, 0.046, 0.363), Cd at (0.000, 0.309, 0.337), Cd at (0.363, 0.309, 0.702), Au at (0.181, 0.129, 0.043) and Au at (0.432, 0.250, 0.086).

Its crystal system is monoclinic.

Record 6
## Rb12Cd3Au5 (PBE)

Data for crystalline Rb12Cd3Au5 at its relaxed geometry.

The structure belongs to space group Ia-3d (No. 230); the cell edges are 21.277, 21.277 and 21.277 Å and the angles 90.00°, 90.00° and 90.00°. The asymmetric unit holds Rb at (0.025, 0.065, 0.649), Cd at (0.000, 0.250, 0.125), Au at (0.000, 0.000, 0.000) and Au at (0.000, 0.250, 0.375).

Its crystal system is cubic.

Record 7
## Rb5Cd3Au3 (PBE)

Data for crystalline Rb5Cd3Au3 at its relaxed geometry.

The structure belongs to space group P-62m (No. 189); the cell edges are 10.5994, 10.5994 and 5.4206 Å and the angles 90.00°, 90.00° and 120.00°. The asymmetric unit holds Rb at (0.0000, 0.2576, 0.0000), Rb at (0.3333, 0.6667, 0.0000), Cd at (0.0000, 0.6265, 0.5000) and Au at (0.0000, 0.6287, 0.0000).

Its crystal system is hexagonal.

Record 8
## Rb2Cd12Au5 (PBE)

Data for crystalline Rb2Cd12Au5 at its relaxed geometry.

The structure belongs to space group R-3m (No. 166, hexagonal axes); the cell edges are 10.5942, 10.5942 and 14.2923 Å and the angles 90.00°, 90.00° and 120.00°. The asymmetric unit holds Rb at (0.0000, 0.0000, 0.1375), Cd at (0.0000, 0.2863, 0.5000), Cd at (0.0390, 0.5195, 0.3586), Au at (0.0000, 0.0000, 0.3961) and Au at (0.0000, 0.5000, 0.0000).

Its crystal system is trigonal.

Record 9
## RbCdAu2 (PBE)

Data for crystalline RbCdAu2 at its relaxed geometry.

The structure belongs to space group Pmmn (No. 59, origin choice 2); the cell edges are 4.831, 7.958 and 6.550 Å and the angles 90.00°, 90.00° and 90.00°. The asymmetric unit holds Rb at (0.250, 0.250, 0.110), Cd at (0.250, 0.750, 0.384) and Au at (0.250, 0.067, 0.589).

Its crystal system is orthorhombic.

For reference, energy relative to the elements by record: 0.70, -0.11, -0.21, -0.19, -0.14, -0.04, -0.16, -0.11, -0.25 eV per atom.